DFT (GGA-PBE) results for an optimized crystal structure of MgTc2H.

a = 4.2110 Å, b = 4.2110 Å, c = 4.2110 Å
α = 60.00°, β = 60.00°, γ = 60.00°
Atoms (fractional coordinates):
H1 0.0000 0.0000 0.0000
Mg1 0.5000 0.5000 0.5000
Tc1 0.2500 0.2500 0.2500
Tc2 0.7500 0.7500 0.7500

Properties
Distance to the lowest polymorph of the same formula: 727 meV/atom
Space group: Fm-3m (225)
VASP energy: -20.88 eV for the cell shown

***

DFT (GGA-PBE) results for an optimized crystal structure of Mg3TcH7.

a = 4.7977 Å, b = 4.7977 Å, c = 10.5094 Å
α = 90.00°, β = 90.00°, γ = 120.00°
Atoms (fractional coordinates):
Mg1 0.0000 0.0000 0.2500
Mg2 0.0000 0.0000 0.7500
Mg3 0.3333 0.6667 0.4316
Mg4 0.6667 0.3333 0.5684
Mg5 0.6667 0.3333 0.9316
Mg6 0.3333 0.6667 0.0684
Tc1 0.0000 0.0000 0.5000
Tc2 0.0000 0.0000 0.0000
H1 0.3333 0.6667 0.2500
H2 0.6667 0.3333 0.7500
H3 0.1698 0.8302 0.9013
H4 0.1698 0.3396 0.9013
H5 0.6604 0.8302 0.9013
H6 0.8302 0.1698 0.0987
H7 0.8302 0.6604 0.0987
H8 0.3396 0.1698 0.0987
H9 0.8302 0.1698 0.4013
H10 0.8302 0.6604 0.4013
H11 0.3396 0.1698 0.4013
H12 0.1698 0.8302 0.5987
H13 0.1698 0.3396 0.5987
H14 0.6604 0.8302 0.5987

Properties
Distance to the lowest polymorph of the same formula: 0 meV/atom
Space group: P6_3/mmc (194)
VASP energy: -83.87 eV for the cell shown

***

DFT (GGA-PBE) results for an optimized crystal structure of MgTcH.

a = 2.9892 Å, b = 2.9892 Å, c = 4.5141 Å
α = 90.00°, β = 90.00°, γ = 120.00°
Atoms (fractional coordinates):
Mg1 0.6667 0.3333 0.8004
Tc1 0.0000 0.0000 0.2898
H1 0.3333 0.6667 0.4412

Properties
Distance to the lowest polymorph of the same formula: 0 meV/atom
Space group: P3m1 (156)
VASP energy: -15.18 eV for the cell shown

***

DFT (GGA-PBE) results for an optimized crystal structure of Mg3Tc2H9.

a = 6.4354 Å, b = 6.4354 Å, c = 6.4354 Å
α = 76.69°, β = 76.69°, γ = 76.69°
Atoms (fractional coordinates):
Mg1 0.4068 0.7500 0.0932
Mg2 0.2500 0.9068 0.5932
Mg3 0.9068 0.5932 0.2500
Mg4 0.0932 0.4068 0.7500
Mg5 0.7500 0.0932 0.4068
Mg6 0.5932 0.2500 0.9068
Tc1 0.1596 0.1596 0.1596
Tc2 0.6596 0.6596 0.6596
Tc3 0.8404 0.8404 0.8404
Tc4 0.3404 0.3404 0.3404
H1 0.7273 0.9209 0.0851
H2 0.0791 0.9149 0.2727
H3 0.2500 0.4288 0.0712
H4 0.5791 0.7727 0.4149
H5 0.5712 0.9288 0.7500
H6 0.9288 0.7500 0.5712
H7 0.2273 0.5851 0.4209
H8 0.5851 0.4209 0.2273
H9 0.9149 0.2727 0.0791
H10 0.0851 0.7273 0.9209
H11 0.4149 0.5791 0.7727
H12 0.4288 0.0712 0.2500
H13 0.7727 0.4149 0.5791
H14 0.0712 0.2500 0.4288
H15 0.4209 0.2273 0.5851
H16 0.7500 0.5712 0.9288
H17 0.9209 0.0851 0.7273
H18 0.2727 0.0791 0.9149

Properties
Space group: R-3c (167)
VASP energy: -114.65 eV for the cell shown

***

- Number 4 is which compound?
  Mg3Tc2H9

***

- What is the VASP energy in the fourth record?
  -114.65 eV for the cell shown